Record 1
BeIn2B, optimized geometry, DFT PBE; DFT formation energy = 0.9862 eV/atom; space group = I-42d (122); E above lowest polymorph = 0 meV per atom; calculated density = 5.195 g/cm³
1.0
-3.1398 3.1398 4.0437
3.1398 -3.1398 4.0437
3.1398 3.1398 -4.0437
Be In B
2 4 2
Cartesian
0.0000 0.0000 0.0000
0.0000 3.1398 2.0219
1.5699 -1.3833 3.0328
1.7565 1.5699 1.0109
1.5699 4.5231 -1.0109
1.3833 1.5699 5.0547
3.1398 0.0000 2.0219
0.0000 0.0000 4.0437

=====

Record 2
BeInB2, optimized geometry, DFT PBE; DFT formation energy = 0.1302 eV/atom; space group = Cm (8); E above lowest polymorph = 49 meV per atom; calculated density = 5.013 g/cm³
1.0
2.6615 -1.5360 0.0000
2.6615 1.5360 0.0000
-1.7467 0.0000 5.8932
Be In B
1 1 2
Cartesian
0.0000 0.0000 0.0000
3.5500 0.0000 3.3130
1.7761 0.0000 0.8638
3.5494 0.0000 0.8361

=====

Record 3
BeInB2, optimized geometry, DFT PBE; DFT formation energy = 0.1257 eV/atom; space group = Cm (8); E above lowest polymorph = 45 meV per atom; calculated density = 5.186 g/cm³
1.0
2.6699 -1.5363 0.0000
2.6699 1.5363 0.0000
-1.6769 0.0000 5.6772
Be In B
1 1 2
Cartesian
0.0000 0.0000 0.0000
1.8862 0.0000 2.2847
0.1030 0.0000 4.8740
1.8845 0.0000 4.7766

=====

Record 4
BeInB2, optimized geometry, DFT PBE; DFT formation energy = 0.2219 eV/atom; space group = P-1 (2); E above lowest polymorph = 141 meV per atom; calculated density = 4.748 g/cm³
1.0
3.5418 0.0000 0.0000
-0.6930 4.4763 0.0000
-0.1899 -1.2203 6.4173
Be In B
2 2 4
Cartesian
-0.0713 0.8963 2.3946
2.7302 2.3597 4.0227
0.2792 3.3873 0.5369
2.3796 -0.1313 5.8804
0.0938 3.8101 3.0035
0.9784 2.3830 3.2236
1.6804 0.8730 3.1937
2.5651 -0.5541 3.4138

=====

Record 5
BeInB2, optimized geometry, DFT PBE; DFT formation energy = 0.6247 eV/atom; space group = I-42d (122); E above lowest polymorph = 544 meV per atom; calculated density = 5.255 g/cm³
1.0
-1.8631 1.8631 6.6208
1.8631 -1.8631 6.6208
1.8631 1.8631 -6.6208
Be In B
2 2 4
Cartesian
0.0000 0.0000 0.0000
0.0000 1.8631 3.3104
1.8631 0.0000 3.3104
0.0000 0.0000 6.6208
0.2636 0.9315 1.6552
-0.9315 1.5995 4.9656
-0.2636 2.7946 1.6552
0.9315 2.1267 4.9656

=====

Record 6
BeInB2, optimized geometry, DFT PBE; DFT formation energy = 0.2176 eV/atom; space group = P1 (1); E above lowest polymorph = 136 meV per atom; calculated density = 4.054 g/cm³
1.0
3.4692 0.0000 0.0000
1.7029 4.8228 0.0000
1.5563 0.4321 7.1225
Be In B
2 2 4
Cartesian
0.0000 0.0000 0.0000
3.2654 1.7876 6.9974
3.2882 2.1641 4.3992
3.9411 4.6660 2.8426
4.1259 3.5247 7.0542
3.4386 4.3769 0.6000
4.9989 2.2499 6.2681
5.8681 3.5289 7.0300

=====

Record 7
BeInB2, optimized geometry, DFT PBE; DFT formation energy = 0.0920 eV/atom; space group = Pmmn (59); E above lowest polymorph = 11 meV per atom; calculated density = 5.054 g/cm³
1.0
3.0422 0.0000 0.0000
0.0000 5.3015 0.0000
0.0000 0.0000 5.9264
Be In B
2 2 4
Cartesian
0.7605 1.3254 0.8405
2.2816 3.9761 5.0859
0.7605 3.9761 2.5033
2.2816 1.3254 3.4231
0.7605 3.0978 0.0913
0.7605 4.8544 0.0913
2.2816 0.4471 5.8352
2.2816 2.2037 5.8352

=====

Record 8
BeInB2, optimized geometry, DFT PBE; DFT formation energy = 0.2025 eV/atom; space group = P-1 (2); E above lowest polymorph = 121 meV per atom; calculated density = 4.464 g/cm³
1.0
3.5120 0.0000 0.0000
-0.7624 4.4464 0.0000
-0.3474 -1.6483 6.9296
Be In B
2 2 4
Cartesian
0.0125 1.4970 0.8314
2.3897 1.3011 6.0982
0.5047 0.2788 4.1824
1.8975 2.5193 2.7472
-0.2424 2.7833 6.9227
0.6497 1.3289 6.8544
1.7525 1.4692 0.0753
2.6446 0.0147 0.0069

=====

Record 9
BeInB2, optimized geometry, DFT PBE; DFT formation energy = 0.1986 eV/atom; space group = P-1 (2); E above lowest polymorph = 117 meV per atom; calculated density = 4.612 g/cm³
1.0
3.5103 0.0000 0.0000
0.7042 4.4770 0.0000
0.3513 1.7759 6.6648
Be In B
2 2 4
Cartesian
0.5642 1.6153 2.6049
4.0016 4.6376 4.0600
1.3495 2.8471 6.0815
3.2163 3.4058 0.5833
1.3984 3.1084 3.6234
2.2865 4.6001 3.2044
2.2793 1.6528 3.4604
3.1675 3.1445 3.0415

=====

Record 10
BeInB2, optimized geometry, DFT PBE; DFT formation energy = 0.2081 eV/atom; space group = P-1 (2); E above lowest polymorph = 127 meV per atom; calculated density = 4.532 g/cm³
1.0
3.4843 0.0000 0.0000
0.7317 4.4477 0.0000
0.3453 0.3289 6.8778
Be In B
2 2 4
Cartesian
0.3866 0.7142 0.7794
4.1746 4.0625 6.0984
1.3915 1.3580 4.2556
3.1698 3.4186 2.6222
1.5662 2.5367 6.6533
2.1143 3.6811 0.1413
2.4470 1.0956 6.7365
2.9950 2.2399 0.2245

=====

Record 11
BeInB2, optimized geometry, DFT PBE; DFT formation energy = 1.5162 eV/atom; space group = Fm-3m (225); E above lowest polymorph = 1435 meV per atom; calculated density = 5.004 g/cm³
1.0
0.0000 2.8898 2.8898
2.8898 0.0000 2.8898
2.8898 2.8898 0.0000
Be In B
1 1 2
Cartesian
0.0000 0.0000 0.0000
2.8898 2.8898 2.8898
1.4449 1.4449 1.4449
4.3348 4.3348 4.3348

=====

Record 12
BeIn3B, optimized geometry, DFT PBE; DFT formation energy = 0.9048 eV/atom; space group = Pm-3m (221); E above lowest polymorph = 0 meV per atom; calculated density = 5.509 g/cm³
1.0
4.7886 0.0000 0.0000
0.0000 4.7886 0.0000
0.0000 0.0000 4.7886
Be In B
1 3 1
Cartesian
0.0000 0.0000 0.0000
0.0000 2.3943 2.3943
2.3943 0.0000 2.3943
2.3943 2.3943 0.0000
2.3943 2.3943 2.3943